Entry 1:
Here is an optimized crystal structure of Rb2VNCl6 from Alexandria. Energies are from PBE.

The structure in POSCAR format:
```
Rb2VNCl6
1.0
7.7789 0.0000 0.0000
0.0000 7.7789 0.0000
3.8894 3.8894 4.5469
N Cl V Rb
1 6 1 2
direct
0.5000 0.5000 0.0000
0.2130 0.7870 0.0000
0.7265 0.7265 0.5469
0.7870 0.7870 0.0000
0.2735 0.2735 0.4531
0.2130 0.2130 0.0000
0.7870 0.2130 0.0000
0.0000 0.0000 0.0000
0.2500 0.7500 0.5000
0.7500 0.2500 0.5000
```

Results
DOS(E_F) ... 1.722 states/eV/atom
Formation energy from raw total energies ... -736 meV per atom
DFT total energy ... -37.8 eV for the cell shown

Entry 2:
Here is an optimized crystal structure of BaReI2O from Alexandria. Energies are from PBE.

The structure in POSCAR format:
```
BaReI2O
1.0
-2.1733 -0.3810 5.4717
0.6220 -5.8647 -0.1614
3.5788 0.3398 1.4451
I O Ba Re
2 1 1 1
direct
0.0000 0.5000 0.0000
0.5000 0.0000 0.0000
0.0000 0.0000 0.5000
0.5000 0.5000 0.5000
0.0000 0.0000 0.0000
```

Results
DOS(E_F) ... 0.479 states/eV/atom
Formation energy from raw total energies ... -652 meV per atom
DFT total energy ... -25.7 eV for the cell shown

Entry 3:
Here is an optimized crystal structure of HoVPt from Alexandria. Energies are from PBE.

The structure in POSCAR format:
```
HoVPt
1.0
3.4524 0.0000 0.0000
-1.7262 4.9099 -0.1006
0.0000 -2.0689 6.7886
V Ho Pt
2 2 2
direct
0.3197 0.6395 0.6184
0.6803 0.3605 0.3816
0.6474 0.2948 0.8129
0.3526 0.7052 0.1871
0.0000 0.0000 0.0000
0.0000 0.0000 0.5000
```

Results
DOS(E_F) ... 1.062 states/eV/atom
DFT total energy ... -41.4 eV for the cell shown

Entry 4:
Here is an optimized crystal structure of Ho3U2Se6 from Alexandria. Energies are from PBE.

The structure in POSCAR format:
```
Ho3U2Se6
1.0
4.0580 0.0000 0.0000
2.0290 3.5143 0.0000
2.0290 1.1714 20.1341
Se U Ho
6 2 3
direct
0.9180 0.9180 0.2460
0.3607 0.3607 0.9178
0.0820 0.0820 0.7540
0.1966 0.1966 0.4101
0.8034 0.8034 0.5899
0.6393 0.6393 0.0822
0.5560 0.5560 0.3321
0.4440 0.4440 0.6679
0.0000 0.0000 0.0000
0.7221 0.7221 0.8337
0.2779 0.2779 0.1663
```

Results
DOS(E_F) ... 0.948 states/eV/atom
Formation energy from raw total energies ... -1439 meV per atom
DFT total energy ... -73.0 eV for the cell shown

Entry 5:
Here is an optimized crystal structure of Pm2Er7Cd2 from Alexandria. Energies are from PBE.

The structure in POSCAR format:
```
Pm2Er7Cd2
1.0
0.7386 -3.0809 5.7307
7.2655 -1.8133 0.3227
-0.2389 5.4156 5.1762
Pm Er Cd
2 7 2
direct
0.5000 0.1402 0.8598
0.5000 0.8598 0.1402
0.8037 0.9330 0.4239
0.4644 0.3409 0.3409
0.5356 0.6591 0.6591
0.8037 0.4239 0.9330
0.0000 0.0000 0.0000
0.1963 0.0670 0.5761
0.1963 0.5761 0.0670
0.0279 0.6636 0.6636
0.9721 0.3364 0.3364
```

Results
DOS(E_F) ... 1.074 states/eV/atom
DFT total energy ... -42.2 eV for the cell shown

Entry 6:
Here is an optimized crystal structure of NaTl2GaPb from Alexandria. Energies are from PBE.

The structure in POSCAR format:
```
NaTl2GaPb
1.0
5.5569 0.0000 0.0000
0.0000 5.7293 0.0000
0.0000 0.0000 5.5569
Ga Pb Tl Na
1 1 2 1
direct
0.0000 0.0000 0.0000
0.0000 0.5000 0.0000
0.5000 0.0000 0.0000
0.0000 0.0000 0.5000
0.5000 0.5000 0.5000
```

Results
DOS(E_F) ... 0.318 states/eV/atom
DFT total energy ... -12.1 eV for the cell shown